Density functional theory data (GGA+U) for an optimized crystal structure of CoSnSeO.

Unit cell a=8.2253 b=8.2253 c=5.8263 alpha=90.00 beta=90.00 gamma=155.69
With the nearest neighbours (Å) after each atom.
Sites, in units of the cell vectors:
Co1 0.1825 0.8175 0.5000  2 O 2.00
Co2 0.8175 0.1825 0.0000  2 O 2.00
Sn1 0.4293 0.5707 0.3996  1 O 2.08
Sn2 0.5707 0.4293 0.8996  1 O 2.08
Se1 0.1879 0.8121 0.0682  3 Co 2.52-2.74, 2 Sn 2.74
Se2 0.8121 0.1879 0.5682  3 Co 2.52-2.74, 2 Sn 2.74
O1 0.3735 0.6265 0.0780  2 Co 2.00, 1 Sn 2.08
O2 0.6265 0.3735 0.5780  2 Co 2.00, 1 Sn 2.08

## Properties
Calculated volume in Å³ per cell: 162
E_tot in eV per atom: -4.892
Magnetization in μB per formula unit: 3.00
Symmetry: Cmc2_1